# YPdIN2, relaxed, DFT PBE
# - formation energy (no corrections) (meV per atom) = 846
# - relative energy among the computed polymorphs (meV/atom) = 0.0
# - crystal system = tetragonal
# - DOS(E_F) (states/eV per cell) = 3.8
# - total DFT energy (no corrections) (eV per atom) = -5.1259
data_YPdIN2
_symmetry_space_group_name_H-M 'P 1'
_symmetry_Int_Tables_number 1
_cell_length_a 4.405
_cell_length_b 4.405
_cell_length_c 6.338
_cell_angle_alpha 90.00
_cell_angle_beta 90.00
_cell_angle_gamma 90.00
loop_
_symmetry_equiv_pos_as_xyz
'x,y,z'
loop_
_atom_site_label
_atom_site_type_symbol
_atom_site_fract_x
_atom_site_fract_y
_atom_site_fract_z
Y1 Y 0.000 0.000 0.000
Pd1 Pd 0.500 0.500 0.500
I1 I 0.000 0.000 0.500
N1 N 0.000 0.500 0.000
N2 N 0.500 0.000 0.000